# 1
A relaxed structure of Pm2Be4Pt5. Source: Alexandria via LeMat-Bulk, functional PBE.

The structure in POSCAR format:
```
Pm2Be4Pt5
1.0
4.992 0.000 2.383
2.496 4.717 1.191
-0.451 0.000 7.365
Pm Pt Be
2 5 4
Direct
0.868 0.000 0.264 Pm
0.132 0.000 0.736 Pm
0.000 0.500 0.000 Pt
0.500 0.000 0.000 Pt
0.250 0.500 0.500 Pt
0.750 0.500 0.500 Pt
0.500 0.500 0.000 Pt
0.791 0.674 0.744 Be
0.209 0.326 0.256 Be
0.535 0.674 0.256 Be
0.465 0.326 0.744 Be
```

**DOS at the Fermi energy**: 0.2885 states/eV/atom
**Space-group type**: Fmmm
**Final energy**: -5.86 eV/atom
**Formation energy**: -0.9004 eV per atom
**M_tot**: 0.00 μB/f.u.


# 2
A relaxed structure of Pm2BePt. Source: Alexandria via LeMat-Bulk, functional PBE.

The structure in POSCAR format:
```
Pm2BePt
1.0
5.042 0.000 0.000
2.521 4.367 0.000
2.521 1.456 4.117
Pm Pt Be
2 1 1
Direct
0.750 0.750 0.750 Pm
0.250 0.250 0.250 Pm
0.500 0.500 0.500 Pt
0.000 0.000 0.000 Be
```

**DOS at the Fermi energy**: 0.6816 states/eV/atom
**Space-group type**: Fm-3m
**Final energy**: -5.24 eV/atom
**Formation energy**: -0.4192 eV per atom
**M_tot**: 0.00 μB/f.u.


# 3
A relaxed structure of Pm2BePt2. Source: Alexandria via LeMat-Bulk, functional PBE.

The structure in POSCAR format:
```
Pm2BePt2
1.0
6.061 0.000 0.000
0.000 6.126 0.000
-3.030 -3.063 5.913
Pm Pt Be
4 4 2
Direct
0.642 0.960 0.284 Pm
0.358 0.040 0.716 Pm
0.142 0.324 0.284 Pm
0.858 0.676 0.716 Pm
0.391 0.584 0.781 Pt
0.891 0.197 0.781 Pt
0.109 0.803 0.219 Pt
0.609 0.416 0.219 Pt
0.750 0.500 0.000 Be
0.250 0.500 0.000 Be
```

**DOS at the Fermi energy**: 0.5031 states/eV/atom
**Space-group type**: Ibam
**Final energy**: -5.97 eV/atom
**Formation energy**: -0.9061 eV per atom
**M_tot**: 0.00 μB/f.u.